Record 1
# Tm5CdRu4

Tm5CdRu4 after structural relaxation (PBE-GGA, the Alexandria database).

Properties
DFT formation energy, meV/atom: -448
Mass density, g/cm³: 11.2
DOS(E_F), states/eV/cell: 7.5
Calculated total energy, eV per atom: -6.4858

abc: 3.3727 3.3727 17.8168
angles: 90.00 90.00 90.00
Sites, in units of the cell vectors:
1 Tm 0.0000 0.0000 0.0000
2 Tm 0.0000 0.0000 0.1866
3 Tm 0.0000 0.0000 0.3728
4 Tm 0.0000 0.0000 0.6272
5 Tm 0.0000 0.0000 0.8134
6 Cd 0.5000 0.5000 0.5000
7 Ru 0.5000 0.5000 0.0946
8 Ru 0.5000 0.5000 0.2860
9 Ru 0.5000 0.5000 0.7140
10 Ru 0.5000 0.5000 0.9054

=====

Record 2
# Tb2Nd3In4

Tb2Nd3In4 after structural relaxation (PBE-GGA, the Alexandria database).

Properties
DFT formation energy, meV/atom: -413
Mass density, g/cm³: 7.7
Relative energy among the computed polymorphs, meV/atom: 0
DOS(E_F), states/eV/cell: 8.6
Calculated total energy, eV per atom: -4.2485

abc: 5.3895 5.3895 10.3742
angles: 90.06 90.06 60.05
Sites, in units of the cell vectors:
1 Tb 0.1669 0.1669 0.2792
2 Tb 0.8331 0.8331 0.7208
3 Nd 0.1666 0.1666 0.9219
4 Nd 0.5000 0.5000 0.5000
5 Nd 0.8334 0.8334 0.0781
6 In 0.1664 0.1664 0.6001
7 In 0.5000 0.5000 0.1547
8 In 0.5000 0.5000 0.8453
9 In 0.8336 0.8336 0.3999